The following is a DFT calculation (GGA-PBE) of K2AsRhSe after structural relaxation.

ΔE_f (raw)   -15.28 kcal/mol of atoms

abc: 4.2122 4.2122 17.0295
angles: 90.00 90.00 90.00
Fractional positions:
K  0.2500  0.2500  0.0748
K  0.2500  0.2500  0.6863
K  0.7500  0.7500  0.3137
K  0.7500  0.7500  0.9252
As  0.2500  0.2500  0.4232
As  0.7500  0.7500  0.5768
Rh  0.2500  0.7500  0.5000
Rh  0.7500  0.2500  0.5000
Se  0.2500  0.2500  0.8654
Se  0.7500  0.7500  0.1346

---

The following is a DFT calculation (GGA-PBE) of KAsRu after structural relaxation.

Formation energy from the elements   1.78 eV per atom

abc: 4.8417 4.8417 4.8417
angles: 60.00 60.00 60.00
Fractional positions:
K  0.0000  0.0000  0.0000
As  0.7500  0.7500  0.7500
Ru  0.2500  0.2500  0.2500

---

The following is a DFT calculation (GGA-PBE) of K2AsRu after structural relaxation.

Formation energy from the elements   0.65 eV per atom

abc: 6.1068 6.1068 6.1068
angles: 140.65 140.65 56.86
Fractional positions:
K  0.2500  0.7500  0.5000
K  0.7500  0.2500  0.5000
As  0.0000  0.0000  0.0000
Ru  0.5000  0.5000  0.0000

---

The following is a DFT calculation (GGA-PBE) of KAs3Ru after structural relaxation.

Distance to the lowest polymorph of the same formula   0.000 eV/atom
Formation energy from the elements   0.22 eV per atom

abc: 4.9314 4.9314 4.9314
angles: 90.00 90.00 90.00
Fractional positions:
K  0.0000  0.0000  0.0000
As  0.0000  0.5000  0.5000
As  0.5000  0.0000  0.5000
As  0.5000  0.5000  0.0000
Ru  0.5000  0.5000  0.5000

---

The following is a DFT calculation (GGA-PBE) of K2AsRu after structural relaxation.

Formation energy from the elements   0.24 eV per atom

abc: 9.1255 9.1255 9.1255
angles: 93.71 93.71 150.52
Fractional positions:
K  0.3750  0.1014  0.2264
K  0.8514  0.6250  0.7264
K  0.8750  0.1486  0.7736
K  0.8986  0.1250  0.2736
As  0.2500  0.7500  0.5000
As  0.5000  0.5000  0.0000
Ru  0.0000  0.0000  0.0000
Ru  0.7500  0.2500  0.5000

---

The following is a DFT calculation (GGA-PBE) of K2AsRu after structural relaxation.

Formation energy from the elements   0.66 eV per atom

abc: 5.1283 5.1283 5.1283
angles: 60.00 60.00 60.00
Fractional positions:
K  0.0000  0.0000  0.0000
K  0.2500  0.2500  0.2500
As  0.7500  0.7500  0.7500
Ru  0.5000  0.5000  0.5000

---

The following is a DFT calculation (GGA-PBE) of KAsRu after structural relaxation.

Formation energy from the elements   0.72 eV per atom

abc: 4.5206 4.5206 4.5206
angles: 60.00 60.00 60.00
Fractional positions:
K  0.0000  0.0000  0.0000
As  0.5000  0.5000  0.5000
Ru  0.2500  0.2500  0.2500

---

The following is a DFT calculation (GGA-PBE) of KAsRu after structural relaxation.

Formation energy from the elements   -0.03 eV per atom

abc: 6.6439 6.6439 6.6439
angles: 151.97 151.97 40.06
Fractional positions:
K  0.0000  0.0000  0.0000
As  0.2920  0.2920  0.0000
Ru  0.7107  0.7107  0.0000

---

E_tot list, top to bottom, in eV for the cell shown: -41.98 -9.67 -13.54 -23.22 -30.34 -13.50 -12.87 -15.10
Size of the total moment list, top to bottom, in Bohr magnetons per cell: 1.0 2.3 1.7 0.0 0.0 2.6 0.0 0.0
Volume list, top to bottom, in A^3/atom: 30.215 26.751 22.699 23.985 45.213 23.842 21.774 21.554